Record 1
PuMg2Zn2Au2: optimized geometry, GGA-PBE.

The structure in POSCAR format:
```
PuMg2Zn2Au2
1.0
-2.6837 3.2303 -1.7777
-4.5060 -0.1464 0.6871
-1.5286 5.3939 6.2594
Pu Mg Zn Au
1 2 2 2
direct
0.0000 0.0000 0.0000
0.1337 0.1337 0.5990
0.8663 0.8663 0.4010
0.5908 0.5908 0.2275
0.4092 0.4092 0.7725
0.7491 0.7491 0.7527
0.2509 0.2509 0.2473
```

- Spin magnetization: 5.8 μB/cell
- Energy of formation: -0.34 eV per atom
- N(E_F): 14.89 states/eV per cell
- Calculated density: 9.44 g cm⁻³

=====

Record 2
Sm3BiB2Rh9: optimized geometry, GGA-PBE.

The structure in POSCAR format:
```
Sm3BiB2Rh9
1.0
-2.5811 -0.6012 -5.2784
-0.4312 -4.3176 4.0071
-7.5191 3.7652 3.2479
Sm Bi B Rh
3 1 2 9
direct
0.3333 0.6667 0.7014
0.0000 0.0000 0.0000
0.6667 0.3333 0.2986
0.0000 0.0000 0.5000
0.3333 0.6667 0.1425
0.6667 0.3333 0.8575
0.8367 0.1633 0.7369
0.8367 0.6735 0.7369
0.3265 0.1633 0.7369
0.6735 0.8367 0.2631
0.1633 0.3265 0.2631
0.1633 0.8367 0.2631
0.5000 0.0000 0.0000
0.0000 0.5000 0.0000
0.5000 0.5000 0.0000
```

- Spin magnetization: 0.0 μB/cell
- Energy of formation: -0.53 eV per atom
- N(E_F): 14.47 states/eV per cell
- Calculated density: 9.80 g cm⁻³

=====

Record 3
LiCu2Br6: optimized geometry, GGA-PBE.

The structure in POSCAR format:
```
LiCu2Br6
1.0
-2.2074 6.0064 1.9382
-5.2666 2.1749 -6.7788
-7.6595 -2.1475 3.8908
Li Cu Br
2 4 12
direct
0.2500 0.1103 0.8897
0.7500 0.8897 0.1103
0.2243 0.6123 0.7868
0.2757 0.2132 0.3877
0.7757 0.3877 0.2132
0.7243 0.7868 0.6123
0.4186 0.7248 0.5563
0.0814 0.4437 0.2752
0.5814 0.2752 0.4437
0.9186 0.5563 0.7248
0.9129 0.8470 0.3677
0.5871 0.6323 0.1530
0.0871 0.1530 0.6323
0.4129 0.3677 0.8470
0.1560 0.8054 0.9610
0.3440 0.0390 0.1946
0.8440 0.1946 0.0390
0.6560 0.9610 0.8054
```

- Spin magnetization: 0.0 μB/cell
- N(E_F): 23.38 states/eV per cell
- Calculated density: 4.05 g cm⁻³
- Raw formation energy: -0.424 eV/atom

=====

Q: spin magnetization of number 2 (Sm3BiB2Rh9)?
A: 0.0 μB/cell

=====

Q: Which formula does entry 2 have?
A: Sm3BiB2Rh9